(1)
Pr3MgAl8: optimized geometry, PBE.

abc: 5.6543 5.6543 27.7530
angles: 90.00 90.00 120.00
Space group R3m (No. 160, hexagonal axes)
Inequivalent atoms, fractional coordinates:
1 Pr 0.0000 0.0000 0.0000 x3
2 Pr 0.0000 0.0000 0.1288 x3
3 Pr 0.0000 0.0000 0.6221 x3
4 Mg 0.0000 0.0000 0.5004 x3
5 Al 0.0000 0.0000 0.3133 x3
6 Al 0.0000 0.0000 0.8139 x3
7 Al 0.9996 0.4998 0.0642 x9
8 Al 0.0022 0.5011 0.5636 x9

Calculated values
calculated density: 4.3 g/cm3
total magnetic moment: 0.0 μB/f.u.
total DFT energy (no corrections): -50.3 eV/f.u.
formation enthalpy at 0 K: -4.40 eV per formula unit



(2)
RbCuTeO4: optimized geometry, PBE.

abc: 5.766 6.416 7.716
angles: 90.00 106.91 90.00
Space group P2_1/m (No. 11)
Inequivalent atoms, fractional coordinates:
1 Rb 0.172 0.250 0.063 x2
2 Cu 0.244 0.750 0.664 x2
3 Te 0.396 0.250 0.663 x2
4 O 0.206 0.028 0.714 x4
5 O 0.322 0.750 0.148 x2
6 O 0.462 0.250 0.437 x2

Calculated values
calculated density: 4.1 g/cm3
total magnetic moment: 0.0 μB/f.u.
total DFT energy (no corrections): -34.7 eV/f.u.
formation energy (no corrections): -6.67 eV per formula unit



total magnetic moment of number 2 (RbCuTeO4)? 0.0 μB/f.u.



total DFT energy (no corrections) of number 2 (RbCuTeO4)? -34.7 eV/f.u.